Crystalline UTlInCl6 at its relaxed geometry, computed with PBE.

Structure (CIF):
```
data_UTlInCl6
_chemical_formula_sum 'U2 Tl2 In2 Cl12'
_cell_length_a 7.776
_cell_length_b 7.776
_cell_length_c 12.672
_cell_angle_alpha 90.00
_cell_angle_beta 90.00
_cell_angle_gamma 120.00
_space_group_name_H-M_alt 'P 1'
_space_group_IT_number 1
loop_
_space_group_symop_operation_xyz
'x,y,z'
loop_
_atom_site_label
_atom_site_type_symbol
_atom_site_fract_x
_atom_site_fract_y
_atom_site_fract_z
U1 U 0.667 0.333 0.250
U2 U 0.333 0.667 0.750
Tl1 Tl 0.000 0.000 0.000
Tl2 Tl 0.000 0.000 0.500
In1 In 0.333 0.667 0.250
In2 In 0.667 0.333 0.750
Cl1 Cl 0.664 0.611 0.132
Cl2 Cl 0.947 0.336 0.132
Cl3 Cl 0.336 0.947 0.632
Cl4 Cl 0.053 0.664 0.868
Cl5 Cl 0.389 0.336 0.368
Cl6 Cl 0.947 0.611 0.368
Cl7 Cl 0.611 0.947 0.868
Cl8 Cl 0.664 0.053 0.368
Cl9 Cl 0.053 0.389 0.632
Cl10 Cl 0.389 0.053 0.132
Cl11 Cl 0.611 0.664 0.632
Cl12 Cl 0.336 0.389 0.868
```

crystal system: trigonal
formation energy (no corrections): -1.40 eV per atom
V: 36.9 Å³/atom



Crystalline Pr6P3PbS2 at its relaxed geometry, computed with PBE.

Structure (CIF):
```
data_Pr6P3PbS2
_chemical_formula_sum 'Pr6 P3 Pb1 S2'
_cell_length_a 4.207
_cell_length_b 8.567
_cell_length_c 9.507
_cell_angle_alpha 103.13
_cell_angle_beta 102.78
_cell_angle_gamma 90.00
_space_group_name_H-M_alt 'P 1'
_space_group_IT_number 1
loop_
_space_group_symop_operation_xyz
'x,y,z'
loop_
_atom_site_label
_atom_site_type_symbol
_atom_site_fract_x
_atom_site_fract_y
_atom_site_fract_z
Pr1 Pr 0.326 0.916 0.652
Pr2 Pr 0.665 0.589 0.331
Pr3 Pr 0.674 0.084 0.348
Pr4 Pr 0.001 0.271 0.001
Pr5 Pr 0.999 0.729 0.999
Pr6 Pr 0.335 0.411 0.669
P1 P 0.500 0.500 0.000
P2 P 0.834 0.169 0.668
P3 P 0.166 0.831 0.332
Pb1 Pb 0.500 0.000 0.000
S1 S 0.830 0.661 0.660
S2 S 0.170 0.339 0.340
```

crystal system: monoclinic
formation energy (no corrections): -1.53 eV per atom
V: 27.1 Å³/atom



Crystalline NbHg2I at its relaxed geometry, computed with PBE.

Structure (CIF):
```
data_NbHg2I
_chemical_formula_sum 'Nb2 Hg4 I2'
_cell_length_a 9.548
_cell_length_b 9.548
_cell_length_c 7.272
_cell_angle_alpha 48.97
_cell_angle_beta 48.97
_cell_angle_gamma 90.00
_space_group_name_H-M_alt 'P 1'
_space_group_IT_number 1
loop_
_space_group_symop_operation_xyz
'x,y,z'
loop_
_atom_site_label
_atom_site_type_symbol
_atom_site_fract_x
_atom_site_fract_y
_atom_site_fract_z
I1 I 0.000 0.000 0.000
I2 I 0.750 0.250 0.500
Nb1 Nb 0.500 0.500 0.000
Nb2 Nb 0.250 0.750 0.500
Hg1 Hg 0.525 0.125 0.250
Hg2 Hg 0.225 0.625 0.250
Hg3 Hg 0.375 0.475 0.750
Hg4 Hg 0.875 0.775 0.750
```

crystal system: tetragonal
distance to the lowest polymorph of the same formula: 0 meV per atom
formation energy (no corrections): 0.54 eV per atom
V: 30.8 Å³/atom



Crystalline BaLiHoCd at its relaxed geometry, computed with PBE.

Structure (CIF):
```
data_BaLiHoCd
_chemical_formula_sum 'Ba1 Li1 Ho1 Cd1'
_cell_length_a 5.646
_cell_length_b 5.646
_cell_length_c 5.646
_cell_angle_alpha 60.00
_cell_angle_beta 60.00
_cell_angle_gamma 60.00
_space_group_name_H-M_alt 'P 1'
_space_group_IT_number 1
loop_
_space_group_symop_operation_xyz
'x,y,z'
loop_
_atom_site_label
_atom_site_type_symbol
_atom_site_fract_x
_atom_site_fract_y
_atom_site_fract_z
Cd1 Cd 0.750 0.750 0.750
Li1 Li 0.250 0.250 0.250
Ho1 Ho 0.000 0.000 0.000
Ba1 Ba 0.500 0.500 0.500
```

crystal system: cubic
V: 31.8 Å³/atom
energy of formation: 0.01 eV per atom



Crystalline Pr3CdPb2 at its relaxed geometry, computed with PBE.

Structure (CIF):
```
data_Pr3CdPb2
_chemical_formula_sum 'Pr3 Cd1 Pb2'
_cell_length_a 4.367
_cell_length_b 5.267
_cell_length_c 8.352
_cell_angle_alpha 108.38
_cell_angle_beta 90.00
_cell_angle_gamma 90.00
_space_group_name_H-M_alt 'P 1'
_space_group_IT_number 1
loop_
_space_group_symop_operation_xyz
'x,y,z'
loop_
_atom_site_label
_atom_site_type_symbol
_atom_site_fract_x
_atom_site_fract_y
_atom_site_fract_z
Pr1 Pr 0.500 0.500 0.000
Pr2 Pr 0.500 0.832 0.663
Pr3 Pr 0.500 0.168 0.337
Cd1 Cd 0.000 0.000 0.000
Pb1 Pb 0.000 0.340 0.679
Pb2 Pb 0.000 0.660 0.321
```

crystal system: orthorhombic
distance to the lowest polymorph of the same formula: 0 meV per atom
V: 30.4 Å³/atom
energy of formation: -0.47 eV per atom



Crystalline Ba2Hg3Bi2 at its relaxed geometry, computed with PBE.

Structure (CIF):
```
data_Ba2Hg3Bi2
_chemical_formula_sum 'Ba2 Hg3 Bi2'
_cell_length_a 5.295
_cell_length_b 6.668
_cell_length_c 7.473
_cell_angle_alpha 95.37
_cell_angle_beta 90.00
_cell_angle_gamma 113.39
_space_group_name_H-M_alt 'P 1'
_space_group_IT_number 1
loop_
_space_group_symop_operation_xyz
'x,y,z'
loop_
_atom_site_label
_atom_site_type_symbol
_atom_site_fract_x
_atom_site_fract_y
_atom_site_fract_z
Ba1 Ba 0.878 0.756 0.249
Ba2 Ba 0.122 0.244 0.751
Hg1 Hg 0.500 0.000 0.000
Hg2 Hg 0.606 0.211 0.425
Hg3 Hg 0.394 0.789 0.575
Bi1 Bi 0.824 0.647 0.750
Bi2 Bi 0.176 0.353 0.250
```

crystal system: monoclinic
distance to the lowest polymorph of the same formula: 0 meV per atom
V: 34.4 Å³/atom
energy of formation: -0.56 eV per atom



Crystalline Li12CuHg3 at its relaxed geometry, computed with PBE.

Structure (CIF):
```
data_Li12CuHg3
_chemical_formula_sum 'Li12 Cu1 Hg3'
_cell_length_a 4.144
_cell_length_b 4.144
_cell_length_c 16.081
_cell_angle_alpha 90.00
_cell_angle_beta 90.00
_cell_angle_gamma 90.00
_space_group_name_H-M_alt 'P 1'
_space_group_IT_number 1
loop_
_space_group_symop_operation_xyz
'x,y,z'
loop_
_atom_site_label
_atom_site_type_symbol
_atom_site_fract_x
_atom_site_fract_y
_atom_site_fract_z
Li1 Li 0.500 0.500 0.000
Li2 Li 0.500 0.500 0.244
Li3 Li 0.500 0.500 0.500
Li4 Li 0.500 0.500 0.756
Li5 Li 0.500 0.000 0.116
Li6 Li 0.500 0.000 0.372
Li7 Li 0.500 0.000 0.628
Li8 Li 0.500 0.000 0.884
Li9 Li 0.000 0.500 0.116
Li10 Li 0.000 0.500 0.372
Li11 Li 0.000 0.500 0.628
Li12 Li 0.000 0.500 0.884
Cu1 Cu 0.000 0.000 0.000
Hg1 Hg 0.000 0.000 0.244
Hg2 Hg 0.000 0.000 0.500
Hg3 Hg 0.000 0.000 0.756
```

crystal system: tetragonal
V: 17.3 Å³/atom
energy of formation: -0.19 eV per atom



Crystalline TlHgICl2 at its relaxed geometry, computed with PBE.

Structure (CIF):
```
data_TlHgICl2
_chemical_formula_sum 'Tl2 Hg2 I2 Cl4'
_cell_length_a 6.124
_cell_length_b 7.526
_cell_length_c 8.504
_cell_angle_alpha 89.80
_cell_angle_beta 90.00
_cell_angle_gamma 90.00
_space_group_name_H-M_alt 'P 1'
_space_group_IT_number 1
loop_
_space_group_symop_operation_xyz
'x,y,z'
loop_
_atom_site_label
_atom_site_type_symbol
_atom_site_fract_x
_atom_site_fract_y
_atom_site_fract_z
Tl1 Tl 0.750 0.225 0.612
Tl2 Tl 0.250 0.775 0.388
Hg1 Hg 0.250 0.862 0.875
Hg2 Hg 0.750 0.138 0.125
I1 I 0.750 0.470 0.235
I2 I 0.250 0.530 0.765
Cl1 Cl 0.750 0.935 0.896
Cl2 Cl 0.250 0.065 0.104
Cl3 Cl 0.250 0.083 0.625
Cl4 Cl 0.750 0.917 0.375
```

crystal system: monoclinic
distance to the lowest polymorph of the same formula: 0 meV per atom
formation energy (no corrections): -0.67 eV per atom
V: 39.2 Å³/atom